A geometry-optimized SmFe2GeC structure, computed with GGA-PBE.

Unit cell a=5.6416 b=5.6416 c=6.8906 alpha=90.00 beta=90.00 gamma=139.59
Last column: nearest neighbours and their distance in Å.
Positions (direct):
Sm 0.0517 0.9483 0.7500  4 C 2.66, 1 Ge 2.98
Sm 0.9483 0.0517 0.2500  4 C 2.66, 1 Ge 2.98
Fe 0.3374 0.6626 0.5638  1 C 1.78
Fe 0.3374 0.6626 0.9362  1 C 1.78
Fe 0.6626 0.3374 0.0638  1 C 1.78
Fe 0.6626 0.3374 0.4362  1 C 1.78
Ge 0.2294 0.7706 0.2500  6 Fe 2.44-2.45
Ge 0.7706 0.2294 0.7500  6 Fe 2.44-2.45
C 0.5000 0.5000 0.0000  2 Fe 1.78
C 0.5000 0.5000 0.5000  2 Fe 1.78

## Properties
- density of states at the Fermi level (states/eV/atom) = 0.88
- crystal system = orthorhombic
- E_tot (eV/atom) = -7.464